[1]
Density functional theory data (PBE-GGA) for Be6FeNi5 after structural relaxation. Values from VASP.

Energy of formation   -0.42 eV per atom
Energy   -5.399 eV/atom
SG   Immm

The structure in Quantum ESPRESSO input format:
```
&SYSTEM
  ibrav = 0, nat = 12, ntyp = 3
/
ATOMIC_SPECIES
Ni 58.69 Ni.upf
Be 9.01 Be.upf
Fe 55.84 Fe.upf
ATOMIC_POSITIONS crystal
Ni 0.330 0.830 0.660
Be 0.500 0.244 0.000
Ni 0.667 0.667 0.333
Ni 0.000 0.500 0.000
Be 0.836 0.082 0.672
Fe 0.000 0.000 0.000
Be 0.836 0.590 0.672
Be 0.164 0.918 0.328
Ni 0.333 0.333 0.667
Be 0.500 0.756 0.000
Be 0.164 0.410 0.328
Ni 0.670 0.170 0.340
CELL_PARAMETERS angstrom
3.532 0.015 -1.031
-0.719 4.602 -2.396
-0.060 0.325 6.367
```

=====

[2]
Density functional theory data (PBE-GGA) for Pr2Zn4Ga3Cu after structural relaxation. Values from VASP.

Energy of formation   -0.42 eV per atom
Energy   -3.207 eV/atom
SG   P-4m2

The structure in Quantum ESPRESSO input format:
```
&SYSTEM
  ibrav = 0, nat = 10, ntyp = 4
/
ATOMIC_SPECIES
Zn 65.41 Zn.upf
Ga 69.72 Ga.upf
Pr 140.91 Pr.upf
Cu 63.55 Cu.upf
ATOMIC_POSITIONS crystal
Zn 0.500 0.500 0.000
Ga 0.000 0.000 0.500
Pr 0.000 0.500 0.748
Zn 0.500 0.000 0.626
Zn 0.000 0.000 0.000
Ga 0.500 0.000 0.862
Ga 0.000 0.500 0.138
Cu 0.500 0.500 0.500
Pr 0.500 0.000 0.252
Zn 0.000 0.500 0.374
CELL_PARAMETERS angstrom
-2.976 -2.555 1.691
0.867 -2.964 -2.951
7.245 -4.224 6.371
```

=====

[3]
Density functional theory data (PBE-GGA) for HfSiTc2Cl after structural relaxation. Values from VASP.

Energy   -6.687 eV/atom
SG   P4/mmm
Formation energy without anion corrections   0.9037 eV per atom

The structure in Quantum ESPRESSO input format:
```
&SYSTEM
  ibrav = 0, nat = 5, ntyp = 4
/
ATOMIC_SPECIES
Si 28.09 Si.upf
Cl 35.45 Cl.upf
Tc 98.00 Tc.upf
Hf 178.49 Hf.upf
ATOMIC_POSITIONS crystal
Si 0.000 0.500 0.000
Cl 0.000 0.000 0.000
Tc 0.000 0.000 0.500
Tc 0.500 0.000 0.000
Hf 0.500 0.500 0.500
CELL_PARAMETERS angstrom
4.356 0.000 0.000
0.000 4.580 0.000
0.000 0.000 4.356
```

=====

[4]
Density functional theory data (PBE-GGA) for ScSn2Pd7 after structural relaxation. Values from VASP.

Energy of formation   -0.23 eV per atom
Energy   -5.302 eV/atom
SG   Cmmm

The structure in Quantum ESPRESSO input format:
```
&SYSTEM
  ibrav = 0, nat = 10, ntyp = 3
/
ATOMIC_SPECIES
Pd 106.42 Pd.upf
Sn 118.71 Sn.upf
Sc 44.96 Sc.upf
ATOMIC_POSITIONS crystal
Pd 0.000 0.196 0.804
Pd 0.000 0.804 0.196
Pd 0.500 0.078 0.285
Pd 0.500 0.500 0.500
Sn 0.500 0.305 0.695
Sn 0.500 0.695 0.305
Pd 0.500 0.715 0.922
Pd 0.500 0.285 0.078
Sc 0.000 0.000 0.000
Pd 0.500 0.922 0.715
CELL_PARAMETERS angstrom
-2.729 -3.250 -0.293
5.898 -4.857 -1.053
-2.786 1.710 6.986
```